Compound: KYTa2
Source: Alexandria
Functional: meta-GGA SCAN
Structure: single point on PBEsol structure

a b c (Å): 3.196 3.196 34.280
angles (deg): 90.00 90.00 120.00
Atoms (fractional coordinates):
K: 0.000 0.000 0.000
K: 0.333 0.667 0.667
K: 0.667 0.333 0.333
Y: 0.000 0.000 0.225
Y: 0.333 0.667 0.892
Y: 0.667 0.333 0.559
Ta: 0.000 0.000 0.485
Ta: 0.000 0.000 0.758
Ta: 0.333 0.667 0.152
Ta: 0.333 0.667 0.425
Ta: 0.667 0.333 0.092
Ta: 0.667 0.333 0.818

Calculated values
Its energy above the lowest structure with this stoichiometry is 0 kJ/mol of formula units. The calculation puts the formation energy at 0.777 eV per atom.